First-principles (PBE) data for an optimized crystal structure of SrYN2O, as listed in Alexandria.

Lattice parameters (Å, degrees): 4.540 4.540 4.391 90.00 90.00 90.00
Site moments in Bohr magnetons follow the coordinates.
Fractional coordinates of all 5 atoms:
Y: 0.000 0.000 0.000  0.03
Sr: 0.500 0.500 0.500  -0.01
O: 0.000 0.000 0.500  0.33
N: 0.000 0.500 0.000  0.90
N: 0.500 0.000 0.000  0.90

Summary:
The calculation puts the energy at -6.62 eV/atom. The symmetry is P4/mmm. As for the density of states at the Fermi level: 2.907 states/eV/f.u. The value obtained for the size of the total moment is 3.011 μB/f.u.

First-principles (PBE) data for an optimized crystal structure of SrZnNO2, as listed in Alexandria.

Lattice parameters (Å, degrees): 4.116 4.116 3.851 90.00 90.00 90.00
Site moments in Bohr magnetons follow the coordinates.
Fractional coordinates of all 5 atoms:
Sr: 0.500 0.500 0.500  0.00
Zn: 0.000 0.000 0.000  0.06
O: 0.000 0.500 0.000  0.35
O: 0.500 0.000 0.000  0.35
N: 0.000 0.000 0.500  0.95

Summary:
The calculation puts the energy at -4.91 eV/atom. The symmetry is P4/mmm. As for the density of states at the Fermi level: 1.616 states/eV/f.u. The value obtained for the size of the total moment is 2.220 μB/f.u.

First-principles (PBE) data for an optimized crystal structure of SrZnNO2, as listed in Alexandria.

Lattice parameters (Å, degrees): 4.755 4.755 5.023 90.00 90.00 90.00
Site moments in Bohr magnetons follow the coordinates.
Fractional coordinates of all 5 atoms:
Sr: 0.000 0.000 0.000  0.02
Zn: 0.500 0.500 0.500  0.10
O: 0.000 0.500 0.000  0.77
O: 0.500 0.000 0.000  0.77
N: 0.000 0.000 0.500  1.50

Summary:
The calculation puts the energy at -3.61 eV/atom. The symmetry is P4/mmm. As for the density of states at the Fermi level: 6.952 states/eV/f.u. The value obtained for the size of the total moment is 4.312 μB/f.u.

First-principles (PBE) data for an optimized crystal structure of SrZnN2O, as listed in Alexandria.

Lattice parameters (Å, degrees): 3.974 3.974 4.269 90.00 90.00 90.00
Site moments in Bohr magnetons follow the coordinates.
Fractional coordinates of all 5 atoms:
Sr: 0.500 0.500 0.500  0.01
Zn: 0.000 0.000 0.000  0.06
O: 0.000 0.000 0.500  0.41
N: 0.000 0.500 0.000  0.88
N: 0.500 0.000 0.000  0.88

Summary:
The calculation puts the energy at -4.76 eV/atom. The symmetry is P4/mmm. As for the density of states at the Fermi level: 2.830 states/eV/f.u. The value obtained for the size of the total moment is 3.033 μB/f.u.

First-principles (PBE) data for an optimized crystal structure of SrZnN2O, as listed in Alexandria.

Lattice parameters (Å, degrees): 5.136 5.136 4.547 90.00 90.00 90.00
Site moments in Bohr magnetons follow the coordinates.
Fractional coordinates of all 5 atoms:
Sr: 0.000 0.000 0.000  0.07
Zn: 0.500 0.500 0.500  0.05
O: 0.000 0.000 0.500  0.66
N: 0.000 0.500 0.000  1.48
N: 0.500 0.000 0.000  1.48

Summary:
The calculation puts the energy at -3.54 eV/atom. The symmetry is P4/mmm. As for the density of states at the Fermi level: 5.087 states/eV/f.u. The value obtained for the size of the total moment is 5.412 μB/f.u.

First-principles (PBE) data for an optimized crystal structure of TaN2O2, as listed in Alexandria.

Lattice parameters (Å, degrees): 3.569 3.569 3.361 90.00 90.00 90.00
Fractional coordinates of all 5 atoms:
N: 0.000 0.500 0.000
N: 0.500 0.000 0.000
O: 0.000 0.000 0.000
O: 0.000 0.000 0.500
Ta: 0.500 0.500 0.500

Summary:
The calculation puts the energy at -6.65 eV/atom. The symmetry is P4/mmm. As for the density of states at the Fermi level: 1.297 states/eV/f.u. The value obtained for the size of the total moment is 0.000 μB/f.u.